No. 1
## Ca4Tb3DySe8 (GGA-PBE)

Data for crystalline Ca4Tb3DySe8 at its relaxed geometry.

The structure in extended XYZ format:
```
16
Lattice="8.2221 0.0000 0.0000 0.0000 8.3337 0.0729 -4.1110 -4.1070 5.8182" Properties=species:S:1:pos:R:3 pbc="T T T"
Ca 4.1110 0.0000 0.0000
Ca 2.0555 -2.0535 2.9091
Ca 0.0000 0.0000 0.0000
Ca -2.0555 -2.0535 2.9091
Tb 4.1110 4.1669 0.0364
Tb 2.0555 2.1133 2.9455
Tb -2.0555 2.1133 2.9455
Dy 0.0000 4.1669 0.0364
Se -2.0620 2.1208 5.8615
Se 0.0000 4.1805 2.9453
Se 0.0000 0.0459 2.9388
Se 2.0620 2.1208 5.8615
Se 2.0491 2.1059 0.0295
Se 4.1110 4.1807 2.9522
Se 4.1110 0.0462 2.9457
Se 6.1730 2.1059 0.0295
```

Calculated values
DOS(E_F): 5.421 states/eV per cell
Calculated total energy: -5.280 eV per atom
E_form (uncorrected): -1881.4 meV per atom
Crystal system: trigonal
Calculated density: 5.93 Mg/m³

=====

No. 2
## K4TaBr (GGA-PBE)

Data for crystalline K4TaBr at its relaxed geometry.

The structure in extended XYZ format:
```
6
Lattice="0.0000 5.1426 5.1426 5.1426 0.0000 5.1426 5.1426 5.1426 0.0000" Properties=species:S:1:pos:R:3 pbc="T T T"
K 3.8619 6.4233 6.4233
K 6.4233 6.4233 3.8619
K 6.4233 3.8619 6.4233
K 3.8619 3.8619 3.8619
Ta 7.7138 7.7138 7.7138
Br 0.0000 0.0000 0.0000
```

Calculated values
DOS(E_F): 9.594 states/eV per cell
Calculated total energy: -2.159 eV per atom
E_form (uncorrected): 826.9 meV per atom
Crystal system: cubic
Calculated density: 2.55 Mg/m³

=====

No. 3
## Ac3SiGe2Au6 (GGA-PBE)

Data for crystalline Ac3SiGe2Au6 at its relaxed geometry.

The structure in extended XYZ format:
```
12
Lattice="-4.5992 0.3396 4.7547 6.2535 -1.5429 1.5453 1.6789 7.8684 1.0620" Properties=species:S:1:pos:R:3 pbc="T T T"
Ac 3.7762 4.4283 3.3363
Ac -0.4429 2.2368 4.0257
Ac 0.0000 0.0000 0.0000
Si 0.8394 3.9342 0.5310
Ge 0.5556 6.9167 4.6573
Ge 2.7776 -0.2516 2.7047
Au 2.6954 1.4151 4.7013
Au 1.9083 1.9876 1.7040
Au 4.8836 1.2535 2.4392
Au 1.4249 4.6776 5.6581
Au 0.6378 5.2500 2.6607
Au -1.5503 5.4116 4.9228
```

Calculated values
DOS(E_F): 5.187 states/eV per cell
Calculated total energy: -4.427 eV per atom
E_form (uncorrected): -539.3 meV per atom
Crystal system: trigonal
Calculated density: 10.96 Mg/m³

=====

No. 4
## GdErSn2 (GGA-PBE)

Data for crystalline GdErSn2 at its relaxed geometry.

The structure in extended XYZ format:
```
4
Lattice="4.4349 0.0000 0.0000 0.0000 4.8833 0.0000 0.0000 0.0000 4.8833" Properties=species:S:1:pos:R:3 pbc="T T T"
Gd 2.2175 0.0000 0.0000
Sn 0.0000 0.0000 2.4417
Sn 0.0000 2.4417 0.0000
Er 2.2175 2.4417 2.4417
```

Calculated values
Formation enthalpy at 0 K: -0.63 eV/atom
DOS(E_F): 3.616 states/eV per cell
Calculated total energy: -7.293 eV per atom
ΔE to the lowest computed polymorph: 16.8 meV per atom
Crystal system: tetragonal
Calculated density: 8.82 Mg/m³

=====

No. 5
## KLa2Rh (GGA-PBE)

Data for crystalline KLa2Rh at its relaxed geometry.

The structure in extended XYZ format:
```
4
Lattice="3.6695 0.0000 0.0000 0.0000 3.6695 0.0000 0.0000 0.0000 10.8848" Properties=species:S:1:pos:R:3 pbc="T T T"
K 1.8347 1.8347 8.1636
La 0.0000 0.0000 1.0714
La 0.0000 0.0000 4.3710
Rh 1.8347 1.8347 2.7212
```

Calculated values
Formation enthalpy at 0 K: -0.24 eV/atom
DOS(E_F): 4.308 states/eV per cell
Calculated total energy: -4.815 eV per atom
ΔE to the lowest computed polymorph: 138.4 meV per atom
Crystal system: tetragonal
Calculated density: 4.76 Mg/m³

=====

No. 6
## Sr2AlSe (GGA-PBE)

Data for crystalline Sr2AlSe at its relaxed geometry.

The structure in extended XYZ format:
```
4
Lattice="4.2802 -0.0113 0.0004 2.1531 3.6992 0.0004 2.1366 1.2248 8.6071" Properties=species:S:1:pos:R:3 pbc="T T T"
Sr 6.4325 3.6874 0.2744
Sr 4.2858 2.4568 4.0304
Al 6.4274 3.6845 6.4560
Se 2.1425 1.2282 2.1520
```

Calculated values
DOS(E_F): 2.521 states/eV per cell
Calculated total energy: -3.517 eV per atom
E_form (uncorrected): -869.4 meV per atom
ΔE to the lowest computed polymorph: 0.0 meV per atom
Crystal system: trigonal
Calculated density: 3.42 Mg/m³

=====

No. 7
## Sn2HgPt (GGA-PBE)

Data for crystalline Sn2HgPt at its relaxed geometry.

The structure in extended XYZ format:
```
4
Lattice="3.3455 0.0000 0.0000 0.0000 3.3455 0.0000 0.0000 0.0000 8.5188" Properties=species:S:1:pos:R:3 pbc="T T T"
Hg 1.6727 1.6727 4.2594
Pt 1.6727 1.6727 0.0000
Sn 0.0000 0.0000 6.8333
Sn 0.0000 0.0000 1.6855
```

Calculated values
Formation enthalpy at 0 K: -0.19 eV/atom
DOS(E_F): 1.584 states/eV per cell
Calculated total energy: -3.775 eV per atom
Crystal system: tetragonal
Calculated density: 11.03 Mg/m³

=====

No. 8
## CrRe2BPb (GGA-PBE)

Data for crystalline CrRe2BPb at its relaxed geometry.

The structure in extended XYZ format:
```
5
Lattice="-0.5461 5.0314 -0.0181 -3.8525 -0.4153 0.7912 1.0047 0.1269 4.9586" Properties=species:S:1:pos:R:3 pbc="T T T"
Pb 0.0000 0.0000 0.0000
Re 0.5024 0.0634 2.4793
Re -0.2730 2.5157 -0.0090
B -1.9262 -0.2076 0.3956
Cr -1.6969 2.3715 2.8659
```

Calculated values
Formation enthalpy at 0 K: 3.47 eV/atom
DOS(E_F): 9.425 states/eV per cell
Calculated total energy: -5.511 eV per atom
Crystal system: tetragonal
Calculated density: 10.53 Mg/m³

=====

No. 9
## Ca3ZnO4 (GGA-PBE)

Data for crystalline Ca3ZnO4 at its relaxed geometry.

The structure in extended XYZ format:
```
16
Lattice="4.8471 0.0000 0.0000 0.0000 6.6810 0.0000 0.0000 0.0000 7.7008" Properties=species:S:1:pos:R:3 pbc="T T T"
Ca 2.7129 5.7114 0.0000
Ca 0.2902 4.4862 1.9160
Ca 2.7138 2.1948 1.9344
Ca 0.2894 0.9696 3.8504
Ca 2.7138 2.1948 5.7664
Ca 0.2902 4.4862 5.7848
Zn 0.1496 1.1755 0.0000
Zn 2.5732 5.5055 3.8504
O 0.3318 5.7842 0.0000
O 2.9000 1.2051 0.0000
O 0.3349 2.1566 1.8232
O 2.7585 4.5244 2.0272
O 0.4765 5.4759 3.8504
O 2.7553 0.8968 3.8504
O 2.7585 4.5244 5.6736
O 0.3349 2.1566 5.8776
```

Calculated values
DOS(E_F): 0.000 states/eV per cell
Calculated total energy: -5.879 eV per atom
E_form (uncorrected): -2490.1 meV per atom
Crystal system: orthorhombic
Calculated density: 3.32 Mg/m³

=====

No. 10
## PrNdLuIn (GGA-PBE)

Data for crystalline PrNdLuIn at its relaxed geometry.

The structure in extended XYZ format:
```
4
Lattice="5.5537 0.0000 0.0000 2.7769 4.8097 0.0000 2.7769 1.6032 4.5346" Properties=species:S:1:pos:R:3 pbc="T T T"
Pr 5.5537 3.2064 2.2673
Lu 8.3306 4.8097 3.4009
Nd 0.0000 0.0000 0.0000
In 2.7769 1.6032 1.1336
```

Calculated values
Formation enthalpy at 0 K: -0.16 eV/atom
DOS(E_F): 6.943 states/eV per cell
Calculated total energy: -4.366 eV per atom
Crystal system: cubic
Calculated density: 7.88 Mg/m³

=====

No. 11
## LiCd2Ag (GGA-PBE)

Data for crystalline LiCd2Ag at its relaxed geometry.

The structure in extended XYZ format:
```
4
Lattice="5.0689 0.0331 -0.0783 4.1957 2.8445 -0.0783 0.7629 0.2369 5.3870" Properties=species:S:1:pos:R:3 pbc="T T T"
Li 7.5207 2.3358 3.9227
Ag 2.5069 0.7786 1.3076
Cd 10.0135 3.1101 5.2181
Cd 5.0279 1.5616 2.6274
```

Calculated values
Formation enthalpy at 0 K: -0.14 eV/atom
DOS(E_F): 1.195 states/eV per cell
Calculated total energy: -1.790 eV per atom
ΔE to the lowest computed polymorph: 59.8 meV per atom
Crystal system: monoclinic
Calculated density: 7.31 Mg/m³

=====

No. 12
## Pm8Tm3Mg (GGA-PBE)

Data for crystalline Pm8Tm3Mg at its relaxed geometry.

The structure in extended XYZ format:
```
12
Lattice="-7.1998 -3.5790 2.4102 5.3712 -4.5965 -4.5253 5.7007 1.7635 5.9032" Properties=species:S:1:pos:R:3 pbc="T T T"
Pm -0.6722 -2.5785 1.5938
Pm 4.8882 -3.9215 2.2371
Pm 5.2828 -2.9391 -1.9013
Pm 5.4451 0.1941 3.2363
Pm 2.3866 -1.9942 1.1408
Pm -3.9639 -3.0234 1.9691
Pm 8.3027 -1.3021 2.3588
Pm 8.2186 -2.9253 -0.3027
Tm 1.8536 -4.7960 -0.7131
Tm 2.0184 -1.6160 4.5012
Tm 5.5360 -1.4165 0.6889
Mg 0.0000 0.0000 0.0000
```

Calculated values
Formation enthalpy at 0 K: 0.55 eV/atom
DOS(E_F): 17.700 states/eV per cell
Calculated total energy: -3.867 eV per atom
Crystal system: tetragonal
Calculated density: 6.54 Mg/m³

=====

No. 13
## NaTlAgGe (GGA-PBE)

Data for crystalline NaTlAgGe at its relaxed geometry.

The structure in extended XYZ format:
```
4
Lattice="5.0194 0.0000 0.0000 2.5097 4.3469 0.0000 2.5097 1.4490 4.0983" Properties=species:S:1:pos:R:3 pbc="T T T"
Na 7.5291 4.3469 3.0737
Tl 0.0000 0.0000 0.0000
Ge 2.5097 1.4490 1.0246
Ag 5.0194 2.8979 2.0492
```

Calculated values
Formation enthalpy at 0 K: 0.10 eV/atom
DOS(E_F): 2.290 states/eV per cell
Calculated total energy: -2.690 eV per atom
Crystal system: cubic
Calculated density: 7.57 Mg/m³

=====

No. 14
## Li2CaAcF8 (GGA-PBE)

Data for crystalline Li2CaAcF8 at its relaxed geometry.

The structure in extended XYZ format:
```
12
Lattice="-1.8064 -0.0327 -4.9668 -3.3906 -0.2466 4.0467 -0.4168 7.4166 0.1028" Properties=species:S:1:pos:R:3 pbc="T T T"
Li -2.4359 1.7017 -1.9373
Li -3.1778 5.4356 1.1200
Ca -0.2084 3.7083 0.0514
Ac 0.0000 0.0000 0.0000
F -2.8665 -0.1047 1.0432
F -1.6017 1.9835 -0.3628
F -1.5167 2.0311 -3.4541
F -2.7473 7.2420 -1.8605
F -4.0970 5.1062 2.6368
F -4.0121 5.1538 -0.4545
F -1.3813 5.2792 1.1669
F -4.2325 1.8581 -1.9842
```

Calculated values
DOS(E_F): 13.634 states/eV per cell
Calculated total energy: -5.257 eV per atom
E_form (uncorrected): -3181.3 meV per atom
Crystal system: trigonal
Calculated density: 4.00 Mg/m³

=====

No. 15
## Sm3ZnAu4 (GGA-PBE)

Data for crystalline Sm3ZnAu4 at its relaxed geometry.

The structure in extended XYZ format:
```
8
Lattice="-0.4427 3.7927 -1.4672 -5.0583 1.2538 4.7674 7.5914 -0.2069 2.8771" Properties=species:S:1:pos:R:3 pbc="T T T"
Sm 1.8161 0.8690 1.6984
Sm 0.2743 3.9706 4.4789
Sm -2.5292 0.6269 2.3837
Zn -0.2213 1.8963 -0.7336
Au 4.6823 1.4813 2.4165
Au -2.5918 3.3583 3.7608
Au -0.5017 2.8402 1.7909
Au 2.5921 1.9994 4.3864
```

Calculated values
Formation enthalpy at 0 K: -0.63 eV/atom
DOS(E_F): 5.200 states/eV per cell
Calculated total energy: -4.197 eV per atom
Crystal system: orthorhombic
Calculated density: 10.68 Mg/m³